(1)
This record from Alexandria via LeMat-Bulk describes CaCeCdSn after structural relaxation. The functional is PBE.

DOS(E_F) in states/eV/cell: 8.27
Theoretical density in g/cm3: 6.03
Energy of formation from the pure elements in eV per atom: -0.453

Cell: 5.432 5.432 5.432 Å, 60.00 60.00 60.00°
Each line ends with the local moment (μB).
Fractional positions:
Ca  0.000  0.000  0.000  0.01
Sn  0.250  0.250  0.250  0.00
Ce  0.500  0.500  0.500  0.92
Cd  0.750  0.750  0.750  0.03

---

(2)
This record from Alexandria via LeMat-Bulk describes CaCeCdSn after structural relaxation. The functional is PBE.

DOS(E_F) in states/eV/cell: 8.13
Theoretical density in g/cm3: 5.98
Energy of formation from the pure elements in eV per atom: -0.444

Cell: 4.187 5.115 5.328 Å, 90.00 90.00 90.00°
Each line ends with the local moment (μB).
Fractional positions:
Ca  0.500  0.500  0.000  0.01
Sn  0.000  0.500  0.500  0.00
Ce  0.500  0.000  0.500  0.87
Cd  0.000  0.000  0.000  0.01

---

(3)
This record from Alexandria via LeMat-Bulk describes CaCe2Cd2Sn2 after structural relaxation. The functional is PBE.

DOS(E_F) in states/eV/cell: 12.54
Theoretical density in g/cm3: 6.75
Energy of formation from the pure elements in eV per atom: -0.268

Cell: 4.859 4.859 9.820 Å, 75.68 75.68 60.00°
Each line ends with the local moment (μB).
Fractional positions:
Cd  0.424  0.424  0.728  0.01
Ce  0.854  0.854  0.439  1.23
Sn  0.268  0.268  0.197  0.00
Sn  0.732  0.732  0.803  0.00
Cd  0.576  0.576  0.272  0.01
Ce  0.146  0.146  0.561  1.23
Ca  0.000  0.000  0.000  0.03

---

(4)
This record from Alexandria via LeMat-Bulk describes CaCeTlCd after structural relaxation. The functional is PBE.

DOS(E_F) in states/eV/cell: 8.58
Theoretical density in g/cm3: 7.14
Energy of formation from the pure elements in eV per atom: -0.309

Cell: 5.469 5.469 5.469 Å, 60.00 60.00 60.00°
Each line ends with the local moment (μB).
Fractional positions:
Cd  0.750  0.750  0.750  0.01
Tl  0.250  0.250  0.250  0.00
Ce  0.500  0.500  0.500  0.90
Ca  0.000  0.000  0.000  0.00

---

(5)
This record from Alexandria via LeMat-Bulk describes Ca2Cd2Cl after structural relaxation. The functional is PBE.

E_form (uncorrected) in kcal/mol of atoms: -12.56
DOS(E_F) in states/eV/cell: 3.80
Theoretical density in g/cm3: 3.76

Cell: 4.102 4.102 9.394 Å, 77.39 77.39 90.00°
Fractional positions:
Cl  0.000  0.000  0.000
Cd  0.750  0.250  0.500
Cd  0.250  0.750  0.500
Ca  0.608  0.608  0.784
Ca  0.392  0.392  0.216

---

(6)
This record from Alexandria via LeMat-Bulk describes CaCd3Cl after structural relaxation. The functional is PBE.

E_form (uncorrected) in kcal/mol of atoms: 1.61
DOS(E_F) in states/eV/cell: 2.28
Theoretical density in g/cm3: 4.05

Cell: 5.531 5.531 5.531 Å, 90.00 90.00 90.00°
Fractional positions:
Cd  0.500  0.000  0.000
Cl  0.000  0.000  0.000
Cd  0.000  0.500  0.000
Ca  0.500  0.500  0.500
Cd  0.000  0.000  0.500

---

(7)
This record from Alexandria via LeMat-Bulk describes Ca3CdCl8 after structural relaxation. The functional is PBE.

E_form (uncorrected) in kcal/mol of atoms: -47.41
DOS(E_F) in states/eV/cell: 0.00
Theoretical density in g/cm3: 2.36

Cell: 8.158 8.154 7.923 Å, 121.48 90.00 120.02°
Fractional positions:
Ca  0.000  0.500  0.000
Cl  0.238  0.990  0.224
Ca  0.500  0.000  0.000
Cl  0.238  0.476  0.224
Cl  0.762  0.010  0.776
Cl  0.751  0.990  0.224
Cd  0.000  0.000  0.000
Cl  0.258  0.516  0.777
Cl  0.762  0.524  0.776
Cl  0.742  0.484  0.223
Cl  0.249  0.010  0.776
Ca  0.500  0.500  0.000

---

(8)
This record from Alexandria via LeMat-Bulk describes CaCdCl after structural relaxation. The functional is PBE.

E_form (uncorrected) in kcal/mol of atoms: -22.99
DOS(E_F) in states/eV/cell: 2.29
Theoretical density in g/cm3: 3.22

Cell: 3.934 3.934 7.221 Å, 90.00 90.00 120.00°
Fractional positions:
Ca  0.000  0.000  0.965
Cl  0.667  0.333  0.752
Cd  0.333  0.667  0.283

---

(9)
This record from Alexandria via LeMat-Bulk describes CaCd5Cl12 after structural relaxation. The functional is PBE.

E_form (uncorrected) in kcal/mol of atoms: -29.98
DOS(E_F) in states/eV/cell: 0.00
Theoretical density in g/cm3: 3.31

Cell: 6.811 6.818 12.818 Å, 89.96 89.91 60.04°
Fractional positions:
Cl  0.000  0.657  0.114
Cl  0.657  0.343  0.114
Cd  0.667  0.667  0.000
Cd  0.167  0.667  0.500
Cl  0.166  0.000  0.612
Cl  0.657  0.000  0.886
Cl  0.343  0.657  0.886
Cd  0.833  0.333  0.500
Cl  0.834  0.000  0.388
Cd  0.333  0.333  0.000
Cl  0.500  0.333  0.611
Ca  0.000  0.000  0.000
Cl  0.343  0.000  0.114
Cl  0.000  0.343  0.886
Cd  0.500  0.000  0.500
Cl  0.833  0.667  0.611
Cl  0.500  0.667  0.389
Cl  0.167  0.333  0.389

---

(10)
This record from Alexandria via LeMat-Bulk describes CaCdCl after structural relaxation. The functional is PBE.

E_form (uncorrected) in kcal/mol of atoms: -23.44
DOS(E_F) in states/eV/cell: 0.64
Theoretical density in g/cm3: 3.42

Cell: 7.504 7.506 3.592 Å, 76.12 76.18 27.70°
Fractional positions:
Ca  0.018  0.018  0.982
Cd  0.367  0.367  0.633
Cl  0.615  0.615  0.385

---

(11)
This record from Alexandria via LeMat-Bulk describes Ca3Cd5Cl16 after structural relaxation. The functional is PBE.

E_form (uncorrected) in kcal/mol of atoms: -35.92
DOS(E_F) in states/eV/cell: 0.00
Theoretical density in g/cm3: 3.08

Cell: 7.970 7.970 12.219 Å, 89.34 89.34 60.25°
Fractional positions:
Ca  0.663  0.168  0.287
Cl  0.970  0.512  0.656
Cl  0.029  0.481  0.154
Cl  0.836  0.337  0.403
Cd  0.832  0.339  0.788
Cl  0.660  0.660  0.907
Cl  0.328  0.328  0.408
Cd  0.332  0.332  0.016
Cd  0.339  0.832  0.788
Cl  0.337  0.836  0.403
Cl  0.514  0.514  0.659
Cl  0.007  0.007  0.678
Cl  0.512  0.970  0.656
Ca  0.168  0.663  0.287
Cd  0.170  0.170  0.286
Cl  0.173  0.665  0.905
Ca  0.832  0.832  0.788
Cl  0.481  0.029  0.154
Cl  0.006  0.006  0.175
Cl  0.484  0.484  0.153
Cl  0.167  0.167  0.901
Cl  0.665  0.173  0.905
Cl  0.830  0.830  0.406
Cd  0.664  0.664  0.520

---

(12)
This record from Alexandria via LeMat-Bulk describes CaCd2Cl6 after structural relaxation. The functional is PBE.

E_form (uncorrected) in kcal/mol of atoms: -34.13
DOS(E_F) in states/eV/cell: 0.00
Theoretical density in g/cm3: 2.78

Cell: 4.154 6.895 10.466 Å, 88.27 90.00 107.53°
Fractional positions:
Cl  0.371  0.743  0.429
Ca  0.000  0.000  0.500
Cd  0.275  0.549  0.216
Cl  0.629  0.257  0.571
Cl  0.161  0.323  0.895
Cd  0.725  0.451  0.784
Cl  0.909  0.819  0.736
Cl  0.091  0.181  0.264
Cl  0.839  0.677  0.105